# 1
Compound: YTa2Rh
Source: the Alexandria database
Functional: GGA-PBEsol
Structure: relaxed

Output
- Relative energy among the computed polymorphs: 0.000 eV/atom
- DOS at the Fermi energy: 1.0233 states/eV/atom
- ΔE_f: -29 meV/atom

Cell lengths 3.2522, 4.4928, 5.0111 Å; angles 90.00, 90.00, 90.00 degrees
Closest atoms and distances in Å follow each position.
Space group Pmmm (No. 47)
Asymmetric unit:
Y 0.0000 0.0000 0.0000  4 Rh 2.77, 4 Ta 2.99
Ta 0.0000 0.5000 0.5000  4 Ta 2.77, 4 Rh 2.99
Ta 0.5000 0.0000 0.5000  4 Ta 2.77, 4 Y 2.99
Rh 0.5000 0.5000 0.0000  4 Y 2.77, 4 Ta 2.99


# 2
Compound: YTaRh2
Source: the Alexandria database
Functional: GGA-PBEsol
Structure: relaxed

Output
- DOS at the Fermi energy: 0.8814 states/eV/atom
- ΔE_f: -271 meV/atom

Cell lengths 3.8659, 3.8659, 9.2121 Å; angles 90.00, 90.00, 90.00 degrees
Closest atoms and distances in Å follow each position.
Space group I-4m2 (No. 119)
Asymmetric unit:
Y 0.0000 0.0000 0.0000  8 Rh 2.73-3.01, 4 Ta 3.01
Ta 0.0000 0.5000 0.7500  8 Rh 2.73-3.01, 4 Y 3.01
Rh 0.0000 0.0000 0.5000  4 Y 2.73, 4 Ta 3.01, 4 Rh 3.01
Rh 0.0000 0.5000 0.2500  4 Ta 2.73, 4 Rh 3.01, 4 Y 3.01


# 3
Compound: YTa2Rh
Source: the Alexandria database
Functional: GGA-PBEsol
Structure: relaxed

Output
- Relative energy among the computed polymorphs: 0.093 eV/atom
- DOS at the Fermi energy: 0.6449 states/eV/atom
- ΔE_f: 64 meV/atom

Cell lengths 9.9895, 3.0334, 5.3013 Å; angles 90.00, 108.19, 90.00 degrees
Closest atoms and distances in Å follow each position.
Space group Cm (No. 8)
Asymmetric unit:
Y 0.0000 0.0000 0.0000  3 Rh 2.90-3.13, 2 Y 3.03, 5 Ta 3.04-3.17
Ta 0.0302 0.5000 0.5236  2 Rh 2.60, 2 Ta 2.76
Ta 0.2890 0.5000 0.3383  5 Ta 2.76-3.04, 2 Rh 2.80
Rh 0.2457 0.0000 0.7501  4 Ta 2.60-2.80, 2 Y 2.90


# 4
Compound: YTa2Rh
Source: the Alexandria database
Functional: GGA-PBEsol
Structure: relaxed

Output
- Relative energy among the computed polymorphs: 0.237 eV/atom
- DOS at the Fermi energy: 1.0725 states/eV/atom
- ΔE_f: 207 meV/atom

Cell lengths 6.5441, 6.5441, 6.5441 Å; angles 90.00, 90.00, 90.00 degrees
Closest atoms and distances in Å follow each position.
Space group Fm-3m (No. 225)
Asymmetric unit:
Y 0.0000 0.0000 0.0000  8 Ta 2.83
Ta 0.2500 0.2500 0.2500  4 Rh 2.83, 4 Y 2.83
Rh 0.0000 0.0000 0.5000  8 Ta 2.83


# 5
Compound: YTaRh2
Source: the Alexandria database
Functional: GGA-PBEsol
Structure: relaxed

Output
- DOS at the Fermi energy: 0.9919 states/eV/atom
- ΔE_f: -572 meV/atom

Cell lengths 3.1387, 3.1387, 7.1722 Å; angles 90.00, 90.00, 90.00 degrees
Closest atoms and distances in Å follow each position.
Space group P4/mmm (No. 123)
Asymmetric unit:
Y 0.0000 0.0000 0.0000  8 Rh 3.06, 4 Y 3.14
Ta 0.0000 0.0000 0.5000  8 Rh 2.67
Rh 0.5000 0.5000 0.2932  4 Ta 2.67, 1 Rh 2.97


# 6
Compound: YTaRh
Source: the Alexandria database
Functional: GGA-PBEsol
Structure: relaxed

Output
- Relative energy among the computed polymorphs: 0.000 eV/atom
- DOS at the Fermi energy: 1.1085 states/eV/atom
- ΔE_f: 91 meV/atom

Cell lengths 6.3785, 6.3785, 6.3785 Å; angles 90.00, 90.00, 90.00 degrees
Closest atoms and distances in Å follow each position.
Space group F-43m (No. 216)
Asymmetric unit:
Y 0.0000 0.0000 0.0000  4 Rh 2.76
Ta 0.0000 0.0000 0.5000  4 Rh 2.76
Rh 0.2500 0.2500 0.2500  4 Y 2.76, 4 Ta 2.76


# 7
Compound: YTaRh
Source: the Alexandria database
Functional: GGA-PBEsol
Structure: relaxed

Output
- Relative energy among the computed polymorphs: 1.089 eV/atom
- DOS at the Fermi energy: 1.2093 states/eV/atom
- ΔE_f: 1181 meV/atom

Cell lengths 6.3103, 6.3103, 6.3103 Å; angles 90.00, 90.00, 90.00 degrees
Closest atoms and distances in Å follow each position.
Space group F-43m (No. 216)
Asymmetric unit:
Y 0.0000 0.0000 0.0000  4 Ta 2.73, 4 Rh 2.73
Ta 0.2500 0.2500 0.7500  4 Y 2.73
Rh 0.2500 0.2500 0.2500  4 Y 2.73


# 8
Compound: Ta3ZnRh
Source: the Alexandria database
Functional: GGA-PBEsol
Structure: relaxed

Output
- DOS at the Fermi energy: 0.8601 states/eV/atom
- ΔE_f: 1215 meV/atom

Cell lengths 4.7332, 4.7332, 4.7332 Å; angles 90.00, 90.00, 90.00 degrees
Closest atoms and distances in Å follow each position.
Space group Pm-3m (No. 221)
Asymmetric unit:
Ta 0.0000 0.0000 0.5000  2 Rh 2.37
Zn 0.5000 0.5000 0.5000  12 Ta 3.35
Rh 0.0000 0.0000 0.0000  6 Ta 2.37